w:
The following is a GGA-PBE calculation of a geometry-optimized CsHfN2F structure, from Alexandria via LeMat-Bulk.

a = 4.446 Å, b = 4.446 Å, c = 4.721 Å
α = 90.00°, β = 90.00°, γ = 90.00°
Space group P4/mmm (No. 123)
Inequivalent atoms, fractional coordinates:
Cs 0.000 0.000 0.000 (multiplicity 1)
Hf 0.500 0.500 0.500 (multiplicity 1)
N 0.000 0.500 0.000 (multiplicity 2)
F 0.000 0.000 0.500 (multiplicity 1)

Calculated volume in Å³/atom: 18.66

***

x:
The following is a GGA-PBE calculation of a geometry-optimized CsHfN2F structure, from Alexandria via LeMat-Bulk.

a = 4.283 Å, b = 4.283 Å, c = 4.597 Å
α = 90.00°, β = 90.00°, γ = 90.00°
Space group P4/mmm (No. 123)
Inequivalent atoms, fractional coordinates:
Cs 0.000 0.000 0.000 (multiplicity 1)
Hf 0.500 0.500 0.500 (multiplicity 1)
N 0.000 0.500 0.500 (multiplicity 2)
F 0.500 0.500 0.000 (multiplicity 1)

Calculated volume in Å³/atom: 16.86

***

Which one sits at the bottom of the stability order? w does.

***

w:
The following is a GGA-PBE calculation of a geometry-optimized CsHfNF2 structure, from Alexandria via LeMat-Bulk.

a = 5.000 Å, b = 5.000 Å, c = 4.437 Å
α = 90.00°, β = 90.00°, γ = 90.00°
Space group P4/mmm (No. 123)
Inequivalent atoms, fractional coordinates:
Cs 0.000 0.000 0.000 (multiplicity 1)
Hf 0.500 0.500 0.500 (multiplicity 1)
N 0.000 0.000 0.500 (multiplicity 1)
F 0.000 0.500 0.000 (multiplicity 2)

Calculated volume in Å³/atom: 22.18

***

x:
The following is a GGA-PBE calculation of a geometry-optimized CsHfNF2 structure, from Alexandria via LeMat-Bulk.

a = 4.496 Å, b = 4.496 Å, c = 4.155 Å
α = 90.00°, β = 90.00°, γ = 90.00°
Space group P4/mmm (No. 123)
Inequivalent atoms, fractional coordinates:
Cs 0.000 0.000 0.000 (multiplicity 1)
Hf 0.500 0.500 0.500 (multiplicity 1)
N 0.500 0.500 0.000 (multiplicity 1)
F 0.000 0.500 0.500 (multiplicity 2)

Calculated volume in Å³/atom: 16.80

***

Which one sits at the bottom of the stability order? w does.

***

w:
The following is a GGA-PBE calculation of a geometry-optimized CsHg3F8 structure, from Alexandria via LeMat-Bulk.

a = 6.1374 Å, b = 6.1374 Å, c = 7.5888 Å
α = 90.00°, β = 90.00°, γ = 120.00°
Space group P-3 (No. 147)
Inequivalent atoms, fractional coordinates:
Cs 0.0000 0.0000 0.0000 (multiplicity 1)
Hg 0.0000 0.0000 0.5000 (multiplicity 1)
Hg 0.3333 0.6667 0.5926 (multiplicity 2)
F 0.0696 0.3629 0.3662 (multiplicity 6)
F 0.3333 0.6667 0.8716 (multiplicity 2)

Calculated volume in Å³/atom: 20.63

***

x:
The following is a GGA-PBE calculation of a geometry-optimized CsHg3F8 structure, from Alexandria via LeMat-Bulk.

a = 15.793 Å, b = 4.388 Å, c = 7.052 Å
α = 90.00°, β = 93.83°, γ = 90.00°
Space group Cm (No. 8)
Inequivalent atoms, fractional coordinates:
Cs 0.000 0.000 0.000 (multiplicity 2)
Hg 0.151 0.000 0.448 (multiplicity 2)
Hg 0.276 0.000 0.911 (multiplicity 2)
Hg 0.430 0.000 0.456 (multiplicity 2)
F 0.087 0.500 0.393 (multiplicity 2)
F 0.137 0.000 0.745 (multiplicity 2)
F 0.181 0.000 0.159 (multiplicity 2)
F 0.292 0.000 0.585 (multiplicity 2)
F 0.294 0.500 0.921 (multiplicity 2)
F 0.387 0.000 0.162 (multiplicity 2)
F 0.448 0.500 0.438 (multiplicity 2)
F 0.460 0.000 0.750 (multiplicity 2)

Calculated volume in Å³/atom: 20.32

***

Which one sits at the bottom of the stability order? w does.

***

w:
The following is a GGA-PBE calculation of a geometry-optimized Cs2HgF structure, from Alexandria via LeMat-Bulk.

a = 7.898 Å, b = 4.411 Å, c = 9.247 Å
α = 90.00°, β = 90.73°, γ = 90.00°
Space group C2/m (No. 12)
Inequivalent atoms, fractional coordinates:
Cs 0.168 0.000 0.186 (multiplicity 4)
Hg 0.000 0.500 0.500 (multiplicity 2)
F 0.000 0.500 0.000 (multiplicity 2)

Calculated volume in Å³/atom: 40.27

***

x:
The following is a GGA-PBE calculation of a geometry-optimized Cs2HgF structure, from Alexandria via LeMat-Bulk.

a = 8.740 Å, b = 8.740 Å, c = 10.284 Å
α = 90.00°, β = 90.00°, γ = 90.00°
Space group I-42d (No. 122)
Inequivalent atoms, fractional coordinates:
Cs 0.145 0.250 0.125 (multiplicity 8)
Hg 0.000 0.000 0.500 (multiplicity 4)
F 0.000 0.000 0.000 (multiplicity 4)

Calculated volume in Å³/atom: 49.10

***

y:
The following is a GGA-PBE calculation of a geometry-optimized Cs2HgF structure, from Alexandria via LeMat-Bulk.

a = 5.437 Å, b = 8.057 Å, c = 8.842 Å
α = 99.91°, β = 90.27°, γ = 109.50°
Space group P-1 (No. 2)
Inequivalent atoms, fractional coordinates:
Cs 0.048 0.095 0.243 (multiplicity 2)
Cs 0.321 0.641 0.136 (multiplicity 2)
Hg 0.268 0.535 0.573 (multiplicity 2)
F 0.130 0.259 0.974 (multiplicity 2)

Calculated volume in Å³/atom: 44.86

***

Which one sits at the bottom of the stability order? w does.

***

w:
The following is a GGA-PBE calculation of a geometry-optimized Cs2HgF structure, from Alexandria via LeMat-Bulk.

a = 3.984 Å, b = 4.358 Å, c = 9.275 Å
α = 103.53°, β = 90.23°, γ = 90.39°
Space group P1 (No. 1)
Inequivalent atoms, fractional coordinates:
Cs 0.000 0.000 0.000 (multiplicity 1)
Cs 0.006 0.305 0.613 (multiplicity 1)
Hg 0.504 0.644 0.290 (multiplicity 1)
F 0.499 0.882 0.755 (multiplicity 1)

Calculated volume in Å³/atom: 39.14

***

x:
The following is a GGA-PBE calculation of a geometry-optimized Cs2HgF structure, from Alexandria via LeMat-Bulk.

a = 17.471 Å, b = 4.550 Å, c = 11.439 Å
α = 90.00°, β = 130.03°, γ = 90.00°
Space group Cm (No. 8)
Inequivalent atoms, fractional coordinates:
Cs 0.000 0.000 0.000 (multiplicity 2)
Cs 0.040 0.500 0.391 (multiplicity 2)
Cs 0.238 0.500 0.046 (multiplicity 2)
Cs 0.284 0.000 0.428 (multiplicity 2)
Hg 0.042 0.000 0.683 (multiplicity 2)
Hg 0.243 0.000 0.754 (multiplicity 2)
F 0.124 0.500 0.218 (multiplicity 2)
F 0.333 0.000 0.236 (multiplicity 2)

Calculated volume in Å³/atom: 43.51

***

Which one sits at the bottom of the stability order? w does.

***

w:
The following is a GGA-PBE calculation of a geometry-optimized Cs2HgF structure, from Alexandria via LeMat-Bulk.

a = 4.4814 Å, b = 4.4814 Å, c = 27.8594 Å
α = 90.00°, β = 90.00°, γ = 120.00°
Space group R-3m (No. 166, hexagonal axes)
Inequivalent atoms, fractional coordinates:
Cs 0.0000 0.0000 0.2284 (multiplicity 6)
Hg 0.0000 0.0000 0.0000 (multiplicity 3)
F 0.0000 0.0000 0.5000 (multiplicity 3)

Calculated volume in Å³/atom: 40.38

***

x:
The following is a GGA-PBE calculation of a geometry-optimized Cs2HgF structure, from Alexandria via LeMat-Bulk.

a = 4.347 Å, b = 7.389 Å, c = 10.407 Å
α = 102.13°, β = 90.07°, γ = 90.15°
Space group P1 (No. 1)
Inequivalent atoms, fractional coordinates:
Cs 0.000 0.000 0.000 (multiplicity 1)
Cs 0.003 0.071 0.397 (multiplicity 1)
Cs 0.496 0.400 0.806 (multiplicity 1)
Cs 0.499 0.559 0.202 (multiplicity 1)
Hg 0.500 0.867 0.666 (multiplicity 1)
Hg 0.998 0.601 0.537 (multiplicity 1)
F 0.501 0.956 0.189 (multiplicity 1)
F 0.997 0.402 0.015 (multiplicity 1)

Calculated volume in Å³/atom: 40.86

***

y:
The following is a GGA-PBE calculation of a geometry-optimized Cs2HgF structure, from Alexandria via LeMat-Bulk.

a = 4.938 Å, b = 6.123 Å, c = 11.723 Å
α = 74.91°, β = 85.08°, γ = 89.99°
Space group P-1 (No. 2)
Inequivalent atoms, fractional coordinates:
Cs 0.209 0.412 0.176 (multiplicity 2)
Cs 0.279 0.785 0.430 (multiplicity 2)
Hg 0.266 0.040 0.920 (multiplicity 2)
F 0.249 0.284 0.431 (multiplicity 2)

Calculated volume in Å³/atom: 42.61

***

Which one sits at the bottom of the stability order? w does.